(1)
Compound: LaNiBr2
Source: Alexandria
Functional: PBE
Structure: relaxed

Final energy, eV/atom: -4.021
E_form (uncorrected), meV per atom: -507
Energy relative to the lowest polymorph listed for this composition, meV per atom: 409.3
Volume, Å³ per cell: 94.1
Total moment, μB/cell: 0.5

POSCAR file:
```
LaNiBr2
1.0
2.0603 1.1895 6.3958
-2.0603 1.1895 6.3958
0.0000 -2.3791 6.3958
La Ni Br
1 1 2
direct
0.0000 0.0000 0.0000 La
0.5000 0.5000 0.5000 Ni
0.2302 0.2302 0.2302 Br
0.7698 0.7698 0.7698 Br
```

***

(2)
Compound: Pr10Sm4Th
Source: Alexandria
Functional: PBE
Structure: relaxed

Final energy, eV/atom: -4.719
Volume, Å³ per cell: 547.0
Total moment, μB/cell: 0.0

POSCAR file:
```
Pr10Sm4Th
1.0
-5.7576 5.7576 4.1255
5.7576 -5.7576 4.1255
5.7576 5.7576 -4.1255
Pr Sm Th
10 4 1
direct
0.0050 0.7933 0.2117 Pr
0.2067 0.4184 0.2117 Pr
0.2067 0.9950 0.7883 Pr
0.2500 0.7500 0.5000 Pr
0.4184 0.2067 0.2117 Pr
0.5816 0.7933 0.7883 Pr
0.7500 0.2500 0.5000 Pr
0.7933 0.0050 0.2117 Pr
0.7933 0.5816 0.7883 Pr
0.9950 0.2067 0.7883 Pr
0.2755 0.2755 0.5511 Sm
0.2755 0.7245 0.0000 Sm
0.7245 0.2755 0.0000 Sm
0.7245 0.7245 0.4489 Sm
0.5000 0.5000 0.0000 Th
```

***

> Which formula does entry 2 have?

Pr10Sm4Th